(1)
# GGA-PBE CdSb2HAu, relaxed
# Mass density   8.47 g/cm3
# VASP energy   -0.111 Ha/atom
data_CdSb2HAu
_chemical_formula_sum 'Cd1 Sb2 H1 Au1'
_cell_length_a 5.646
_cell_length_b 5.646
_cell_length_c 3.407
_cell_angle_alpha 90.00
_cell_angle_beta 90.00
_cell_angle_gamma 90.00
_space_group_name_H-M_alt 'P 1'
_space_group_IT_number 1
loop_
_space_group_symop_operation_xyz
'x,y,z'
loop_
_atom_site_label
_atom_site_type_symbol
_atom_site_fract_x
_atom_site_fract_y
_atom_site_fract_z
Cd1 Cd 0.000 0.000 0.000
Sb1 Sb 0.000 0.500 0.500
Sb2 Sb 0.500 0.000 0.500
H1 H 0.500 0.500 0.000
Au1 Au 0.500 0.500 0.500


(2)
# GGA-PBE Zn2HgW, relaxed
# Mass density   12.54 g/cm3
# VASP energy   -0.117 Ha/atom
data_Zn2HgW
_chemical_formula_sum 'Zn2 Hg1 W1'
_cell_length_a 4.587
_cell_length_b 4.587
_cell_length_c 4.587
_cell_angle_alpha 60.00
_cell_angle_beta 60.00
_cell_angle_gamma 60.00
_space_group_name_H-M_alt 'P 1'
_space_group_IT_number 1
loop_
_space_group_symop_operation_xyz
'x,y,z'
loop_
_atom_site_label
_atom_site_type_symbol
_atom_site_fract_x
_atom_site_fract_y
_atom_site_fract_z
Zn1 Zn 0.000 0.000 0.000
Zn2 Zn 0.250 0.250 0.250
Hg1 Hg 0.500 0.500 0.500
W1 W 0.750 0.750 0.750


Question: Which formula does entry 1 have?
Answer: CdSb2HAu